# 1
Here is a relaxed TiB3F crystal from Alexandria via LeMat-Bulk. Energies are from PBE-GGA.

Results
ΔE_f (raw) = 40.954 kcal/mol of atoms
Energy above the lowest structure with this stoichiometry = 678.8 meV per atom
Spin magnetization = 0.3 μB/f.u.

Lattice parameters (Å, degrees): 4.354 4.354 4.354 90.00 90.00 90.00
Space group Pm-3m (No. 221)
Symmetry-distinct sites (fractional):
Ti 0.000 0.000 0.000 [1 per cell]
B 0.000 0.000 0.500 [3 per cell]
F 0.500 0.500 0.500 [1 per cell]

# 2
Here is a relaxed TiB2F8 crystal from Alexandria via LeMat-Bulk. Energies are from PBE-GGA.

Results
ΔE_f (raw) = -63.787 kcal/mol of atoms
Spin magnetization = 2.0 μB/f.u.

Lattice parameters (Å, degrees): 9.835 5.949 4.991 90.00 102.96 90.00
Space group C2/m (No. 12)
Symmetry-distinct sites (fractional):
Ti 0.000 0.000 0.000 [2 per cell]
B 0.194 0.000 0.670 [4 per cell]
F 0.129 0.189 0.770 [8 per cell]
F 0.155 0.000 0.373 [4 per cell]
F 0.164 0.500 0.244 [4 per cell]

# 3
Here is a relaxed TiBF crystal from Alexandria via LeMat-Bulk. Energies are from PBE-GGA.

Results
ΔE_f (raw) = -31.079 kcal/mol of atoms
Spin magnetization = 0.0 μB/f.u.

Lattice parameters (Å, degrees): 9.957 10.718 5.917 90.00 90.00 90.00
Space group Fdd2 (No. 43)
Symmetry-distinct sites (fractional):
Ti 0.000 0.193 0.000 [16 per cell]
B 0.079 0.000 0.000 [16 per cell]
F 0.115 0.250 0.750 [16 per cell]

# 4
Here is a relaxed TiBF3 crystal from Alexandria via LeMat-Bulk. Energies are from PBE-GGA.

Results
ΔE_f (raw) = -31.501 kcal/mol of atoms
Energy above the lowest structure with this stoichiometry = 0.0 meV per atom
Spin magnetization = 0.6 μB/f.u.

Lattice parameters (Å, degrees): 4.028 4.028 4.028 90.00 90.00 90.00
Space group Pm-3m (No. 221)
Symmetry-distinct sites (fractional):
Ti 0.000 0.000 0.000 [1 per cell]
B 0.500 0.500 0.500 [1 per cell]
F 0.000 0.000 0.500 [3 per cell]

# 5
Here is a relaxed TiB3F crystal from Alexandria via LeMat-Bulk. Energies are from PBE-GGA.

Results
ΔE_f (raw) = 25.302 kcal/mol of atoms
Energy above the lowest structure with this stoichiometry = 0.0 meV per atom
Spin magnetization = 0.0 μB/f.u.

Lattice parameters (Å, degrees): 3.649 3.649 3.649 90.00 90.00 90.00
Space group Pm-3m (No. 221)
Symmetry-distinct sites (fractional):
Ti 0.000 0.000 0.000 [1 per cell]
B 0.000 0.500 0.500 [3 per cell]
F 0.500 0.500 0.500 [1 per cell]

# 6
Here is a relaxed TiBF3 crystal from Alexandria via LeMat-Bulk. Energies are from PBE-GGA.

Results
ΔE_f (raw) = -16.184 kcal/mol of atoms
Energy above the lowest structure with this stoichiometry = 664.2 meV per atom
Spin magnetization = 2.3 μB/f.u.

Lattice parameters (Å, degrees): 3.913 3.913 3.913 90.00 90.00 90.00
Space group Pm-3m (No. 221)
Symmetry-distinct sites (fractional):
Ti 0.000 0.000 0.000 [1 per cell]
B 0.500 0.500 0.500 [1 per cell]
F 0.000 0.500 0.500 [3 per cell]